PBE ZrAs, optimized geometry; theoretical density = 6.7 g/cm³; formation energy from the elements = -1.145 eV per atom
1.0
-1.641 -2.182 -2.696
1.778 -1.642 2.977
-11.126 0.098 6.696
As Zr
4 4
Direct
0.000 0.000 0.000 As
0.000 0.000 0.500 As
0.333 0.667 0.750 As
0.667 0.333 0.250 As
0.333 0.667 0.116 Zr
0.667 0.333 0.616 Zr
0.667 0.333 0.884 Zr
0.333 0.667 0.384 Zr